# Hg3WF6 (PBE+U, optimized geometry)
# energy	-75.43	eV per cell
# total moment	0.6	μB per formula unit
# V	24.529	A^3/atom
# N(E_F)	8.78	states/eV per cell
data_Hg3WF6
_chemical_formula_sum 'Hg6 W2 F12'
_symmetry_space_group_name_H-M 'P 1'
_symmetry_Int_Tables_number 1
_cell_length_a 8.1248
_cell_length_b 8.1248
_cell_length_c 8.1248
_cell_angle_alpha 75.15
_cell_angle_beta 75.15
_cell_angle_gamma 75.15
loop_
_symmetry_equiv_pos_as_xyz
'x,y,z'
loop_
_atom_site_label
_atom_site_type_symbol
_atom_site_fract_x
_atom_site_fract_y
_atom_site_fract_z
Hg1 Hg 0.0672 0.3803 0.3803
Hg2 Hg 0.3803 0.0672 0.3803
Hg3 Hg 0.3803 0.3803 0.0672
Hg4 Hg 0.6197 0.6197 0.9328
Hg5 Hg 0.6197 0.9328 0.6197
Hg6 Hg 0.9328 0.6197 0.6197
W1 W 0.0000 0.0000 0.0000
W2 W 0.5000 0.5000 0.5000
F1 F 0.0262 0.0262 0.7571
F2 F 0.0262 0.7571 0.0262
F3 F 0.2429 0.9738 0.9738
F4 F 0.3436 0.3436 0.6274
F5 F 0.3436 0.6274 0.3436
F6 F 0.3726 0.6564 0.6564
F7 F 0.6274 0.3436 0.3436
F8 F 0.6564 0.3726 0.6564
F9 F 0.6564 0.6564 0.3726
F10 F 0.7571 0.0262 0.0262
F11 F 0.9738 0.2429 0.9738
F12 F 0.9738 0.9738 0.2429